(1)
Compound: Ac2TlGaRh
Source: the Alexandria database
Functional: PBE
Structure: relaxed

Computed properties:
Fermi-level density of states = 0.68 states/eV per atom
crystal system = monoclinic
DFT total energy = -4.731 eV/atom
total magnetization = 0.0 μB/cell
SG = No. 11
formation energy = -539 meV/atom

Cell: 7.7014 4.6853 8.4190 Å, 90.00 108.96 90.00°
Sites, in units of the cell vectors:
Ac: 0.1391 0.2500 0.3390
Ac: 0.2824 0.2500 0.9510
Ac: 0.7176 0.7500 0.0490
Ac: 0.8609 0.7500 0.6610
Tl: 0.3320 0.7500 0.6501
Tl: 0.6680 0.2500 0.3499
Ga: 0.4336 0.7500 0.3100
Ga: 0.5664 0.2500 0.6900
Rh: 0.1192 0.7500 0.0854
Rh: 0.8808 0.2500 0.9146

(2)
Compound: Ac2TmGa3Rh4
Source: the Alexandria database
Functional: PBE
Structure: relaxed

Computed properties:
Fermi-level density of states = 0.55 states/eV per atom
crystal system = tetragonal
DFT total energy = -5.933 eV/atom
total magnetization = 0.0 μB/cell
SG = No. 115
formation energy = -816 meV/atom

Cell: 4.3763 4.3763 11.0098 Å, 90.00 90.00 90.00°
Sites, in units of the cell vectors:
Ac: 0.0000 0.5000 0.2271
Ac: 0.5000 0.0000 0.7729
Tm: 0.0000 0.0000 0.5000
Ga: 0.0000 0.5000 0.8867
Ga: 0.5000 0.0000 0.1133
Ga: 0.5000 0.5000 0.5000
Rh: 0.0000 0.0000 0.0000
Rh: 0.0000 0.5000 0.6495
Rh: 0.5000 0.0000 0.3505
Rh: 0.5000 0.5000 0.0000

(3)
Compound: Ac2UGaRh4
Source: the Alexandria database
Functional: PBE
Structure: relaxed

Computed properties:
Fermi-level density of states = 0.90 states/eV per atom
crystal system = orthorhombic
DFT total energy = -7.049 eV/atom
total magnetization = 1.0 μB/cell
SG = No. 70
formation energy = -557 meV/atom

Cell: 11.6229 10.3587 6.8231 Å, 82.37 62.05 35.58°
Sites, in units of the cell vectors:
Ac: 0.0517 0.0517 0.6983
Ac: 0.3017 0.3017 0.9483
Ac: 0.6983 0.6983 0.0517
Ac: 0.9483 0.9483 0.3017
U: 0.3750 0.3750 0.3750
U: 0.6250 0.6250 0.6250
Ga: 0.1250 0.1250 0.1250
Ga: 0.8750 0.8750 0.8750
Rh: 0.0587 0.3211 0.4556
Rh: 0.3211 0.0587 0.6646
Rh: 0.3354 0.5444 0.6789
Rh: 0.4556 0.6646 0.0587
Rh: 0.5444 0.3354 0.9413
Rh: 0.6646 0.4556 0.3211
Rh: 0.6789 0.9413 0.3354
Rh: 0.9413 0.6789 0.5444

(4)
Compound: AcYGa2Rh2
Source: the Alexandria database
Functional: PBE
Structure: relaxed

Computed properties:
Fermi-level density of states = 0.80 states/eV per atom
crystal system = trigonal
DFT total energy = -6.012 eV/atom
total magnetization = 0.0 μB/cell
SG = No. 164
formation energy = -790 meV/atom

Cell: 4.4354 4.4354 7.7179 Å, 90.00 90.00 120.00°
Sites, in units of the cell vectors:
Ac: 0.0000 0.0000 0.0000
Y: 0.0000 0.0000 0.5000
Ga: 0.3333 0.6667 0.2883
Ga: 0.6667 0.3333 0.7117
Rh: 0.3333 0.6667 0.7145
Rh: 0.6667 0.3333 0.2855

(5)
Compound: Ac2Zn4Ga3Rh
Source: the Alexandria database
Functional: PBE
Structure: relaxed

Computed properties:
Fermi-level density of states = 0.49 states/eV per atom
crystal system = tetragonal
DFT total energy = -3.427 eV/atom
total magnetization = 0.0 μB/cell
SG = No. 115
formation energy = -453 meV/atom

Cell: 4.4689 4.4689 10.3913 Å, 90.00 90.00 90.00°
Sites, in units of the cell vectors:
Ac: 0.0000 0.5000 0.2415
Ac: 0.5000 0.0000 0.7585
Zn: 0.0000 0.0000 0.5000
Zn: 0.0000 0.5000 0.8772
Zn: 0.5000 0.0000 0.1228
Zn: 0.5000 0.5000 0.5000
Ga: 0.0000 0.0000 0.0000
Ga: 0.0000 0.5000 0.6310
Ga: 0.5000 0.0000 0.3690
Rh: 0.5000 0.5000 0.0000

(6)
Compound: Ac2Zn2GaRh5
Source: the Alexandria database
Functional: PBE
Structure: relaxed

Computed properties:
Fermi-level density of states = 0.49 states/eV per atom
crystal system = tetragonal
DFT total energy = -5.551 eV/atom
total magnetization = 0.0 μB/cell
SG = No. 127
formation energy = -496 meV/atom

Cell: 10.0510 10.0510 3.6383 Å, 90.00 90.00 90.00°
Sites, in units of the cell vectors:
Ac: 0.1767 0.3233 0.0000
Ac: 0.3233 0.8233 0.0000
Ac: 0.6767 0.1767 0.0000
Ac: 0.8233 0.6767 0.0000
Zn: 0.1225 0.6225 0.0000
Zn: 0.3775 0.1225 0.0000
Zn: 0.6225 0.8775 0.0000
Zn: 0.8775 0.3775 0.0000
Ga: 0.0000 0.0000 0.0000
Ga: 0.5000 0.5000 0.0000
Rh: 0.0000 0.5000 0.5000
Rh: 0.0595 0.8001 0.5000
Rh: 0.1999 0.0595 0.5000
Rh: 0.3001 0.5595 0.5000
Rh: 0.4405 0.3001 0.5000
Rh: 0.5000 0.0000 0.5000
Rh: 0.5595 0.6999 0.5000
Rh: 0.6999 0.4405 0.5000
Rh: 0.8001 0.9405 0.5000
Rh: 0.9405 0.1999 0.5000

(7)
Compound: AcZnGa3Rh
Source: the Alexandria database
Functional: PBE
Structure: relaxed

Computed properties:
Fermi-level density of states = 0.57 states/eV per atom
crystal system = orthorhombic
DFT total energy = -3.972 eV/atom
total magnetization = 0.0 μB/cell
SG = No. 63
formation energy = -337 meV/atom

Cell: 7.2354 7.2354 6.2788 Å, 90.00 90.00 125.95°
Sites, in units of the cell vectors:
Ac: 0.2292 0.7708 0.7500
Ac: 0.7708 0.2292 0.2500
Zn: 0.3778 0.6222 0.2500
Zn: 0.6222 0.3778 0.7500
Ga: 0.1929 0.8071 0.2500
Ga: 0.2958 0.2958 0.0000
Ga: 0.2958 0.2958 0.5000
Ga: 0.7042 0.7042 0.0000
Ga: 0.7042 0.7042 0.5000
Ga: 0.8071 0.1929 0.7500
Rh: 0.0099 0.9901 0.2500
Rh: 0.9901 0.0099 0.7500

(8)
Compound: AcZn2GaRh
Source: the Alexandria database
Functional: PBE
Structure: relaxed

Computed properties:
Fermi-level density of states = 0.54 states/eV per atom
crystal system = orthorhombic
DFT total energy = -3.871 eV/atom
total magnetization = 0.0 μB/cell
SG = No. 44
formation energy = -464 meV/atom

Cell: 4.4790 4.5393 10.0600 Å, 90.00 90.00 90.00°
Sites, in units of the cell vectors:
Ac: 0.0000 0.0000 0.0000
Ac: 0.5000 0.5000 0.5000
Zn: 0.0000 0.0000 0.3670
Zn: 0.0000 0.5000 0.2511
Zn: 0.5000 0.0000 0.7511
Zn: 0.5000 0.5000 0.8670
Ga: 0.0000 0.0000 0.6277
Ga: 0.5000 0.5000 0.1277
Rh: 0.0000 0.5000 0.7386
Rh: 0.5000 0.0000 0.2386

(9)
Compound: Ac2ZnGa2Rh
Source: the Alexandria database
Functional: PBE
Structure: relaxed

Computed properties:
Fermi-level density of states = 0.55 states/eV per atom
crystal system = orthorhombic
DFT total energy = -4.375 eV/atom
total magnetization = 0.0 μB/cell
SG = No. 72
formation energy = -559 meV/atom

Cell: 8.6564 8.6564 8.6564 Å, 136.81 62.33 137.33°
Sites, in units of the cell vectors:
Ac: 0.1571 0.2437 0.4008
Ac: 0.3429 0.7437 0.0867
Ac: 0.6571 0.2563 0.9133
Ac: 0.8429 0.7563 0.5992
Zn: 0.2500 0.7500 0.5000
Zn: 0.7500 0.2500 0.5000
Ga: 0.0938 0.7511 0.8450
Ga: 0.4062 0.2511 0.6573
Ga: 0.5938 0.7489 0.3427
Ga: 0.9062 0.2489 0.1550
Rh: 0.2500 0.2500 0.0000
Rh: 0.7500 0.7500 0.0000

(10)
Compound: Ac2ZnGaRh6
Source: the Alexandria database
Functional: PBE
Structure: relaxed

Computed properties:
Fermi-level density of states = 1.47 states/eV per atom
crystal system = orthorhombic
DFT total energy = -5.850 eV/atom
total magnetization = 0.9 μB/cell
SG = No. 71
formation energy = -187 meV/atom

Cell: 6.6125 6.6125 6.6125 Å, 120.57 119.44 90.00°
Sites, in units of the cell vectors:
Ac: 0.2499 0.2499 0.0000
Ac: 0.7501 0.7501 0.0000
Zn: 0.5000 0.0000 0.5000
Ga: 0.0000 0.5000 0.5000
Rh: 0.2491 0.2515 0.5006
Rh: 0.2488 0.7488 0.5000
Rh: 0.2491 0.7485 0.9977
Rh: 0.7509 0.2515 0.0023
Rh: 0.7512 0.2512 0.5000
Rh: 0.7509 0.7485 0.4994

(11)
Compound: AcZnGa2Rh
Source: the Alexandria database
Functional: PBE
Structure: relaxed

Computed properties:
Fermi-level density of states = 0.61 states/eV per atom
crystal system = orthorhombic
DFT total energy = -4.339 eV/atom
total magnetization = 0.0 μB/cell
SG = No. 44
formation energy = -581 meV/atom

Cell: 4.3748 4.4079 10.7957 Å, 90.00 90.00 90.00°
Sites, in units of the cell vectors:
Ac: 0.0000 0.0000 0.0000
Ac: 0.5000 0.5000 0.5000
Zn: 0.0000 0.5000 0.7470
Zn: 0.5000 0.0000 0.2470
Ga: 0.0000 0.0000 0.3862
Ga: 0.0000 0.5000 0.2413
Ga: 0.5000 0.0000 0.7413
Ga: 0.5000 0.5000 0.8862
Rh: 0.0000 0.0000 0.6176
Rh: 0.5000 0.5000 0.1176

(12)
Compound: Ac2ZnGa4Rh3
Source: the Alexandria database
Functional: PBE
Structure: relaxed

Computed properties:
Fermi-level density of states = 0.62 states/eV per atom
crystal system = tetragonal
DFT total energy = -5.037 eV/atom
total magnetization = 0.0 μB/cell
SG = No. 115
formation energy = -672 meV/atom

Cell: 4.4225 4.4225 10.3772 Å, 90.00 90.00 90.00°
Sites, in units of the cell vectors:
Ac: 0.0000 0.5000 0.2472
Ac: 0.5000 0.0000 0.7528
Zn: 0.5000 0.5000 0.0000
Ga: 0.0000 0.0000 0.5000
Ga: 0.0000 0.5000 0.8727
Ga: 0.5000 0.0000 0.1273
Ga: 0.5000 0.5000 0.5000
Rh: 0.0000 0.0000 0.0000
Rh: 0.0000 0.5000 0.6249
Rh: 0.5000 0.0000 0.3751

(13)
Compound: AcZnGaRh
Source: the Alexandria database
Functional: PBE
Structure: relaxed

Computed properties:
Fermi-level density of states = 0.58 states/eV per atom
crystal system = trigonal
DFT total energy = -4.502 eV/atom
total magnetization = 0.0 μB/cell
SG = No. 160
formation energy = -562 meV/atom

Cell: 4.4318 4.4318 15.9980 Å, 90.00 90.00 120.00°
Sites, in units of the cell vectors:
Ac: 0.0000 0.0000 0.0000
Ac: 0.3333 0.6667 0.6667
Ac: 0.6667 0.3333 0.3333
Zn: 0.0000 0.0000 0.8004
Zn: 0.3333 0.6667 0.4671
Zn: 0.6667 0.3333 0.1337
Ga: 0.0000 0.0000 0.5278
Ga: 0.3333 0.6667 0.1945
Ga: 0.6667 0.3333 0.8612
Rh: 0.0000 0.0000 0.1891
Rh: 0.3333 0.6667 0.8558
Rh: 0.6667 0.3333 0.5225

(14)
Compound: Ac2Ga4Ru3
Source: the Alexandria database
Functional: PBE
Structure: relaxed

Computed properties:
Fermi-level density of states = 0.71 states/eV per atom
crystal system = orthorhombic
DFT total energy = -5.686 eV/atom
total magnetization = 0.0 μB/cell
SG = No. 64
formation energy = -336 meV/atom

Cell: 8.2137 8.2137 7.7312 Å, 90.00 90.00 136.27°
Sites, in units of the cell vectors:
Ac: 0.1163 0.8837 0.9001
Ac: 0.3837 0.6163 0.4001
Ac: 0.6163 0.3837 0.5999
Ac: 0.8837 0.1163 0.0999
Ga: 0.1796 0.8204 0.5031
Ga: 0.1869 0.3131 0.7500
Ga: 0.3131 0.1869 0.2500
Ga: 0.3204 0.6796 0.0031
Ga: 0.6796 0.3204 0.9969
Ga: 0.6869 0.8131 0.7500
Ga: 0.8131 0.6869 0.2500
Ga: 0.8204 0.1796 0.4969
Ru: 0.0000 0.0000 0.5000
Ru: 0.0186 0.4814 0.7500
Ru: 0.4814 0.0186 0.2500
Ru: 0.5000 0.5000 0.0000
Ru: 0.5186 0.9814 0.7500
Ru: 0.9814 0.5186 0.2500

(15)
Compound: Ac2GaRu
Source: the Alexandria database
Functional: PBE
Structure: relaxed

Computed properties:
Fermi-level density of states = 0.88 states/eV per atom
crystal system = monoclinic
DFT total energy = -5.478 eV/atom
total magnetization = 0.0 μB/cell
SG = No. 11
formation energy = -348 meV/atom

Cell: 6.4350 4.1209 9.1569 Å, 90.00 109.54 90.00°
Sites, in units of the cell vectors:
Ac: 0.1975 0.2500 0.4115
Ac: 0.2747 0.7500 0.0523
Ac: 0.7253 0.2500 0.9477
Ac: 0.8025 0.7500 0.5885
Ga: 0.3361 0.7500 0.7182
Ga: 0.6639 0.2500 0.2818
Ru: 0.1223 0.2500 0.7832
Ru: 0.8777 0.7500 0.2168

(16)
Compound: Ac2GaRu
Source: the Alexandria database
Functional: PBE
Structure: relaxed

Computed properties:
Fermi-level density of states = 1.03 states/eV per atom
crystal system = tetragonal
DFT total energy = -5.290 eV/atom
total magnetization = 0.1 μB/cell
SG = No. 123
formation energy = -160 meV/atom

Cell: 3.7999 3.7999 7.6990 Å, 90.00 90.00 90.00°
Sites, in units of the cell vectors:
Ac: 0.0000 0.0000 0.2321
Ac: 0.0000 0.0000 0.7679
Ga: 0.5000 0.5000 0.5000
Ru: 0.5000 0.5000 0.0000

(17)
Compound: Ac8Ga2Ru
Source: the Alexandria database
Functional: PBE
Structure: relaxed

Computed properties:
Fermi-level density of states = 1.19 states/eV per atom
crystal system = monoclinic
DFT total energy = -4.568 eV/atom
total magnetization = 0.0 μB/cell
SG = No. 12
formation energy = -187 meV/atom

Cell: 10.4164 10.4164 9.0049 Å, 92.67 92.67 25.37°
Sites, in units of the cell vectors:
Ac: 0.0032 0.0032 0.2106
Ac: 0.2274 0.2274 0.3322
Ac: 0.3551 0.3551 0.0095
Ac: 0.4021 0.4021 0.4836
Ac: 0.5979 0.5979 0.5164
Ac: 0.6449 0.6449 0.9905
Ac: 0.7726 0.7726 0.6678
Ac: 0.9968 0.9968 0.7894
Ga: 0.1665 0.1665 0.7288
Ga: 0.8335 0.8335 0.2712
Ru: 0.5000 0.5000 0.0000

(18)
Compound: AcGa2Ru
Source: the Alexandria database
Functional: PBE
Structure: relaxed

Computed properties:
Fermi-level density of states = 0.82 states/eV per atom
crystal system = monoclinic
DFT total energy = -5.291 eV/atom
total magnetization = 0.0 μB/cell
SG = No. 12
formation energy = -431 meV/atom

Cell: 7.5043 4.3232 6.0883 Å, 90.00 114.17 90.00°
Sites, in units of the cell vectors:
Ac: 0.0000 0.0000 0.0000
Ac: 0.5000 0.5000 0.0000
Ga: 0.2056 0.0000 0.6163
Ga: 0.2944 0.5000 0.3837
Ga: 0.7056 0.5000 0.6163
Ga: 0.7944 0.0000 0.3837
Ru: 0.0000 0.5000 0.5000
Ru: 0.5000 0.0000 0.5000

(19)
Compound: AcGa3Ru
Source: the Alexandria database
Functional: PBE
Structure: relaxed

Computed properties:
Fermi-level density of states = 0.66 states/eV per atom
crystal system = monoclinic
DFT total energy = -4.891 eV/atom
total magnetization = 0.0 μB/cell
SG = No. 11
formation energy = -398 meV/atom

Cell: 4.2479 7.0513 7.5284 Å, 90.00 90.04 90.00°
Sites, in units of the cell vectors:
Ac: 0.2504 0.2500 0.1824
Ac: 0.7496 0.7500 0.8176
Ga: 0.2493 0.0639 0.6316
Ga: 0.2493 0.4361 0.6316
Ga: 0.2500 0.7500 0.1465
Ga: 0.7500 0.2500 0.8535
Ga: 0.7507 0.5639 0.3684
Ga: 0.7507 0.9361 0.3684
Ru: 0.2509 0.7500 0.4797
Ru: 0.7491 0.2500 0.5203

(20)
Compound: Ac2GaRu2
Source: the Alexandria database
Functional: PBE
Structure: relaxed

Computed properties:
Fermi-level density of states = 0.67 states/eV per atom
crystal system = monoclinic
DFT total energy = -6.255 eV/atom
total magnetization = 0.0 μB/cell
SG = No. 15
formation energy = -296 meV/atom

Cell: 6.0198 6.0198 8.0179 Å, 103.62 103.62 59.08°
Sites, in units of the cell vectors:
Ac: 0.0016 0.2917 0.1460
Ac: 0.2917 0.0016 0.6460
Ac: 0.7083 0.9984 0.3540
Ac: 0.9984 0.7083 0.8540
Ga: 0.3993 0.6007 0.2500
Ga: 0.6007 0.3993 0.7500
Ru: 0.2142 0.5142 0.4806
Ru: 0.4858 0.7858 0.0194
Ru: 0.5142 0.2142 0.9806
Ru: 0.7858 0.4858 0.5194

(21)
Compound: Ac4Ga3Ru5
Source: the Alexandria database
Functional: PBE
Structure: relaxed

Computed properties:
Fermi-level density of states = 0.88 states/eV per atom
crystal system = monoclinic
DFT total energy = -6.210 eV/atom
total magnetization = 0.0 μB/cell
SG = No. 12
formation energy = -219 meV/atom

Cell: 7.6618 7.6618 10.1169 Å, 113.96 113.96 35.97°
Sites, in units of the cell vectors:
Ac: 0.0489 0.0489 0.3496
Ac: 0.2734 0.2734 0.7887
Ac: 0.7266 0.7266 0.2113
Ac: 0.9511 0.9511 0.6504
Ga: 0.0000 0.0000 0.0000
Ga: 0.4001 0.4001 0.1514
Ga: 0.5999 0.5999 0.8486
Ru: 0.2730 0.2730 0.4761
Ru: 0.4136 0.4136 0.4046
Ru: 0.5000 0.5000 0.0000
Ru: 0.5864 0.5864 0.5954
Ru: 0.7270 0.7270 0.5239

(22)
Compound: AcGa3Ru2
Source: the Alexandria database
Functional: PBE
Structure: relaxed

Computed properties:
Fermi-level density of states = 0.48 states/eV per atom
crystal system = orthorhombic
DFT total energy = -5.759 eV/atom
total magnetization = 0.0 μB/cell
SG = No. 63
formation energy = -469 meV/atom

Cell: 6.3960 6.3960 5.8471 Å, 90.00 90.00 76.03°
Sites, in units of the cell vectors:
Ac: 0.1612 0.8388 0.7500
Ac: 0.8388 0.1612 0.2500
Ga: 0.0300 0.5935 0.2500
Ga: 0.4065 0.9700 0.2500
Ga: 0.4416 0.5584 0.2500
Ga: 0.5584 0.4416 0.7500
Ga: 0.5935 0.0300 0.7500
Ga: 0.9700 0.4065 0.7500
Ru: 0.2972 0.2972 0.0000
Ru: 0.2972 0.2972 0.5000
Ru: 0.7028 0.7028 0.0000
Ru: 0.7028 0.7028 0.5000